# PuAgCl6 | the Alexandria database | PBE-GGA | optimized geometry
# Energy relative to the elements, uncorrected   -1.17 eV/atom
# Magnetic moment   9.0 Bohr magnetons per cell
# Density   4.1 g/cm³
data_PuAgCl6
_chemical_formula_sum 'Pu3 Ag3 Cl18'
_symmetry_space_group_name_H-M 'R -3'
_symmetry_Int_Tables_number 148
_symmetry_space_group_name_Hall '-R 3'
_cell_length_a 6.6579
_cell_length_b 6.6579
_cell_length_c 18.0821
_cell_angle_alpha 90.00
_cell_angle_beta 90.00
_cell_angle_gamma 120.00
loop_
_atom_site_label
_atom_site_type_symbol
_atom_site_fract_x
_atom_site_fract_y
_atom_site_fract_z
_atom_site_occupancy
Pu1 Pu 0.0000 0.0000 0.0000 1
Ag1 Ag 0.0000 0.0000 0.5000 1
Cl1 Cl 0.0135 0.6951 0.0812 1

***

# Ta3Nb4W2 | the Alexandria database | PBE-GGA | optimized geometry
# Magnetic moment   0.0 Bohr magnetons per cell
# Electronic total energy   -0.8195 Ry per atom
# Density   13.1 g/cm³
data_Ta3Nb4W2
_chemical_formula_sum 'Ta12 Nb16 W8'
_symmetry_space_group_name_H-M 'C 1 2/c 1'
_symmetry_Int_Tables_number 15
_cell_length_a 13.4946
_cell_length_b 9.7452
_cell_length_c 4.9634
_cell_angle_alpha 90.00
_cell_angle_beta 95.28
_cell_angle_gamma 90.00
loop_
_symmetry_equiv_pos_as_xyz
'x,y,z'
'-x,-y,-z'
'-x,y,-z+1/2'
'x,-y,z+1/2'
'x+1/2,y+1/2,z'
'-x+1/2,-y+1/2,-z'
'-x+1/2,y+1/2,-z+1/2'
'x+1/2,-y+1/2,z+1/2'
loop_
_atom_site_label
_atom_site_type_symbol
_atom_site_fract_x
_atom_site_fract_y
_atom_site_fract_z
_atom_site_occupancy
Ta1 Ta 0.0000 0.1198 0.2500 1
Ta2 Ta 0.1682 0.3712 0.0750 1
Nb1 Nb 0.0557 0.3732 0.5265 1
Nb2 Nb 0.2191 0.1221 0.3721 1
W1 W 0.1095 0.1260 0.8088 1

***

# KInP | the Alexandria database | PBE-GGA | optimized geometry
# Magnetic moment   0.3 Bohr magnetons per cell
# Electronic total energy   -0.2403 Ry per atom
# Density   3.3 g/cm³
data_KInP
_chemical_formula_sum 'K1 In1 P1'
_symmetry_space_group_name_H-M 'P 3 m 1'
_symmetry_Int_Tables_number 156
_cell_length_a 4.2769
_cell_length_b 4.2769
_cell_length_c 5.8498
_cell_angle_alpha 90.00
_cell_angle_beta 90.00
_cell_angle_gamma 120.00
loop_
_symmetry_equiv_pos_as_xyz
'x,y,z'
'-y,x-y,z'
'-x+y,-x,z'
'-y,-x,z'
'-x+y,y,z'
'x,x-y,z'
loop_
_atom_site_label
_atom_site_type_symbol
_atom_site_fract_x
_atom_site_fract_y
_atom_site_fract_z
_atom_site_occupancy
K1 K 0.0000 0.0000 0.0000 1
In1 In 0.3333 0.6667 0.5375 1
P1 P 0.6667 0.3333 0.3811 1

***

Which formula does entry 1 have?
PuAgCl6

***

Which value of magnetic moment does entry 1 give?
9.0 Bohr magnetons per cell

***

Which value of magnetic moment does entry 2 give?
0.0 Bohr magnetons per cell